1.
Compound: Hf2ZnGa
Source: the Alexandria database
Functional: PBE
Structure: optimized geometry

Lattice parameters (Å, degrees): 3.013 3.013 8.021 90.00 90.00 90.00
Fractional positions:
Hf 0.000 0.000 0.249
Hf 0.000 0.000 0.751
Zn 0.500 0.500 0.500
Ga 0.500 0.500 0.000

Values from the calculation:
Space group   P4/mmm, No. 123
ΔH_f (0 K)   -0.28 eV per atom
D(E_F)   3.72 states/eV/f.u.

2.
Compound: Hf3Zn2Ga4
Source: the Alexandria database
Functional: PBE
Structure: optimized geometry

Lattice parameters (Å, degrees): 5.366 5.366 8.109 113.68 113.68 47.17
Fractional positions:
Hf 0.000 0.000 0.000
Hf 0.337 0.337 0.330
Hf 0.663 0.663 0.670
Zn 0.386 0.386 0.718
Zn 0.614 0.614 0.282
Ga 0.065 0.065 0.396
Ga 0.284 0.284 0.947
Ga 0.716 0.716 0.053
Ga 0.935 0.935 0.604

Values from the calculation:
Space group   C2/m, No. 12
ΔH_f (0 K)   -0.37 eV per atom
Offset from the most stable computed form   0 meV per atom
D(E_F)   1.95 states/eV/f.u.

3.
Compound: HfZnGa3
Source: the Alexandria database
Functional: PBE
Structure: optimized geometry

Lattice parameters (Å, degrees): 4.018 6.620 6.731 90.00 90.00 90.00
Fractional positions:
Hf 0.250 0.250 0.205
Hf 0.750 0.750 0.795
Zn 0.250 0.750 0.474
Zn 0.750 0.250 0.526
Ga 0.250 0.049 0.727
Ga 0.250 0.451 0.727
Ga 0.250 0.750 0.082
Ga 0.750 0.250 0.918
Ga 0.750 0.549 0.273
Ga 0.750 0.951 0.273

Values from the calculation:
Space group   Pmmn, No. 59
ΔH_f (0 K)   -0.04 eV per atom
Offset from the most stable computed form   0 meV per atom
D(E_F)   1.75 states/eV/f.u.

4.
Compound: HfZn3Ga
Source: the Alexandria database
Functional: PBE
Structure: optimized geometry

Lattice parameters (Å, degrees): 4.606 4.606 4.606 90.00 90.00 90.00
Fractional positions:
Hf 0.000 0.000 0.000
Zn 0.000 0.500 0.500
Zn 0.500 0.000 0.500
Zn 0.500 0.500 0.000
Ga 0.500 0.500 0.500

Values from the calculation:
Space group   Pm-3m, No. 221
ΔH_f (0 K)   0.57 eV per atom
Offset from the most stable computed form   643 meV per atom
D(E_F)   1.54 states/eV/f.u.

5.
Compound: Hf8ZnGa2
Source: the Alexandria database
Functional: PBE
Structure: optimized geometry

Lattice parameters (Å, degrees): 7.501 7.501 5.092 101.71 101.71 118.21
Fractional positions:
Hf 0.091 0.326 0.632
Hf 0.220 0.780 0.000
Hf 0.326 0.091 0.632
Hf 0.404 0.404 0.202
Hf 0.596 0.596 0.798
Hf 0.674 0.909 0.368
Hf 0.780 0.220 0.000
Hf 0.909 0.674 0.368
Zn 0.000 0.000 0.000
Ga 0.305 0.695 0.500
Ga 0.695 0.305 0.500

Values from the calculation:
Space group   C2/m, No. 12
ΔH_f (0 K)   -0.02 eV per atom
D(E_F)   13.51 states/eV/f.u.

6.
Compound: HfZn2Ga
Source: the Alexandria database
Functional: PBE
Structure: optimized geometry

Lattice parameters (Å, degrees): 4.002 4.002 4.108 90.00 90.00 90.00
Fractional positions:
Hf 0.000 0.000 0.000
Zn 0.000 0.500 0.500
Zn 0.500 0.000 0.500
Ga 0.500 0.500 0.000

Values from the calculation:
Space group   P4/mmm, No. 123
ΔH_f (0 K)   -0.33 eV per atom
D(E_F)   1.21 states/eV/f.u.

7.
Compound: HfZn2Ga
Source: the Alexandria database
Functional: PBE
Structure: optimized geometry

Lattice parameters (Å, degrees): 9.442 9.442 9.442 18.08 18.08 18.08
Fractional positions:
Hf 0.000 0.000 0.000
Zn 0.246 0.246 0.246
Zn 0.501 0.501 0.501
Ga 0.755 0.755 0.755

Values from the calculation:
Space group   R3m, No. 160
ΔH_f (0 K)   0.00 eV per atom
D(E_F)   3.36 states/eV/f.u.

8.
Compound: Hf2ZnGa2
Source: the Alexandria database
Functional: PBE
Structure: optimized geometry

Lattice parameters (Å, degrees): 6.636 6.636 4.065 90.00 90.00 90.00
Fractional positions:
Hf 0.173 0.327 0.000
Hf 0.327 0.827 0.000
Hf 0.673 0.173 0.000
Hf 0.827 0.673 0.000
Zn 0.000 0.000 0.500
Zn 0.500 0.500 0.500
Ga 0.131 0.631 0.500
Ga 0.369 0.131 0.500
Ga 0.631 0.869 0.500
Ga 0.869 0.369 0.500

Values from the calculation:
Space group   P4/mbm, No. 127
ΔH_f (0 K)   -0.39 eV per atom
Offset from the most stable computed form   25 meV per atom
D(E_F)   2.18 states/eV/f.u.

9.
Compound: Hf2ZnGa
Source: the Alexandria database
Functional: PBE
Structure: optimized geometry

Lattice parameters (Å, degrees): 4.108 5.680 5.680 34.06 90.00 90.00
Fractional positions:
Hf 0.000 0.000 0.000
Hf 0.500 0.331 0.331
Zn 0.000 0.737 0.737
Ga 0.500 0.597 0.597

Values from the calculation:
Space group   Amm2, No. 38
ΔH_f (0 K)   -0.34 eV per atom
D(E_F)   2.87 states/eV/f.u.

10.
Compound: Hf3ZnGa6
Source: the Alexandria database
Functional: PBE
Structure: optimized geometry

Lattice parameters (Å, degrees): 7.130 7.130 7.130 96.93 96.93 96.93
Fractional positions:
Hf 0.187 0.750 0.313
Hf 0.250 0.687 0.813
Hf 0.313 0.187 0.750
Hf 0.687 0.813 0.250
Hf 0.750 0.313 0.187
Hf 0.813 0.250 0.687
Zn 0.000 0.000 0.000
Zn 0.500 0.500 0.500
Ga 0.015 0.087 0.361
Ga 0.087 0.361 0.015
Ga 0.139 0.413 0.485
Ga 0.361 0.015 0.087
Ga 0.413 0.485 0.139
Ga 0.485 0.139 0.413
Ga 0.515 0.861 0.587
Ga 0.587 0.515 0.861
Ga 0.639 0.985 0.913
Ga 0.861 0.587 0.515
Ga 0.913 0.639 0.985
Ga 0.985 0.913 0.639

Values from the calculation:
Space group   R-3c, No. 167
ΔH_f (0 K)   -0.31 eV per atom
D(E_F)   1.97 states/eV/f.u.

11.
Compound: HfZnGa2
Source: the Alexandria database
Functional: PBE
Structure: optimized geometry

Lattice parameters (Å, degrees): 5.291 5.291 5.291 46.05 46.05 46.05
Fractional positions:
Hf 0.000 0.000 0.000
Zn 0.500 0.500 0.500
Ga 0.229 0.229 0.229
Ga 0.771 0.771 0.771

Values from the calculation:
Space group   R-3m, No. 166
ΔH_f (0 K)   -0.12 eV per atom
D(E_F)   0.94 states/eV/f.u.

12.
Compound: Hf2ZnGa6
Source: the Alexandria database
Functional: PBE
Structure: optimized geometry

Lattice parameters (Å, degrees): 7.132 3.165 7.865 90.00 112.51 90.00
Fractional positions:
Hf 0.183 0.000 0.389
Hf 0.817 0.000 0.611
Zn 0.500 0.500 0.000
Ga 0.170 0.500 0.704
Ga 0.190 0.000 0.008
Ga 0.480 0.500 0.324
Ga 0.520 0.500 0.676
Ga 0.810 0.000 0.992
Ga 0.830 0.500 0.296

Values from the calculation:
Space group   P2/m, No. 10
ΔH_f (0 K)   -0.17 eV per atom
D(E_F)   3.06 states/eV/f.u.

Question: What is the formula in the tenth record?
Answer: Hf3ZnGa6

Repeat the sixth record exactly.
Compound: HfZn2Ga
Source: the Alexandria database
Functional: PBE
Structure: optimized geometry

Lattice parameters (Å, degrees): 4.002 4.002 4.108 90.00 90.00 90.00
Fractional positions:
Hf 0.000 0.000 0.000
Zn 0.000 0.500 0.500
Zn 0.500 0.000 0.500
Ga 0.500 0.500 0.000

Values from the calculation:
Space group   P4/mmm, No. 123
ΔH_f (0 K)   -0.33 eV per atom
D(E_F)   1.21 states/eV/f.u.